Record 1
A plane-wave DFT calculation with PBE was carried out for LiLaGaPd2 after structural relaxation.

Values from the calculation:
E_form = -3.6 eV per formula unit
SG = I-4m2

Unit cell a=6.6779 b=6.6779 c=6.6779 alpha=144.89 beta=144.89 gamma=50.50
Last column: nearest neighbours and their distance in Å.
Atoms (fractional coordinates):
Li: 0.0000 0.0000 0.0000  4 Pd 2.60, 4 Ga 2.85
La: 0.2500 0.7500 0.5000  8 Pd 3.17
Ga: 0.5000 0.5000 0.0000  4 Pd 2.60, 4 Li 2.85
Pd: 0.6357 0.1357 0.5000  2 Li 2.60, 2 Ga 2.60, 1 Pd 2.76
Pd: 0.8643 0.3643 0.5000  2 Li 2.60, 2 Ga 2.60, 1 Pd 2.76

Record 2
A plane-wave DFT calculation with PBE was carried out for Li2LaGaPd after structural relaxation.

Values from the calculation:
E_form = -1.5 eV per formula unit
SG = P4/mmm

Unit cell a=4.7161 b=4.7161 c=4.8539 alpha=90.00 beta=90.00 gamma=90.00
Last column: nearest neighbours and their distance in Å.
Atoms (fractional coordinates):
Li: 0.0000 0.5000 0.0000  2 Pd 2.36
Li: 0.5000 0.0000 0.0000  2 Pd 2.36
La: 0.0000 0.0000 0.5000  4 Ga 3.33, 8 Li 3.38
Ga: 0.5000 0.5000 0.5000  2 Pd 2.43
Pd: 0.5000 0.5000 0.0000  4 Li 2.36, 2 Ga 2.43

Record 3
A plane-wave DFT calculation with PBE was carried out for LiLaGaPd after structural relaxation.

Values from the calculation:
Energy above the most stable polymorph in this dataset = 68 meV/atom
E_form = -2.1 eV per formula unit
SG = F-43m

Unit cell a=4.8298 b=4.8298 c=4.8298 alpha=60.00 beta=60.00 gamma=60.00
Last column: nearest neighbours and their distance in Å.
Atoms (fractional coordinates):
Li: 0.0000 0.0000 0.0000  4 La 2.96, 4 Ga 2.96
La: 0.2500 0.2500 0.2500  4 Pd 2.96, 4 Li 2.96
Ga: 0.7500 0.7500 0.7500  4 Pd 2.96, 4 Li 2.96
Pd: 0.5000 0.5000 0.5000  4 Ga 2.96, 4 La 2.96

Record 4
A plane-wave DFT calculation with PBE was carried out for Li2La3GaPd9 after structural relaxation.

Values from the calculation:
E_form = -8.1 eV per formula unit
SG = P-3m1

Unit cell a=6.8544 b=6.8544 c=7.0660 alpha=90.00 beta=90.00 gamma=120.00
Last column: nearest neighbours and their distance in Å.
Atoms (fractional coordinates):
Li: 0.3333 0.6667 0.1366  6 Pd 2.20-2.30
Li: 0.6667 0.3333 0.8634  6 Pd 2.20-2.30
La: 0.0000 0.0000 0.0000  12 Pd 3.19-3.43, 2 Ga 3.53
La: 0.3333 0.6667 0.6725  6 Pd 2.99-3.04, 1 Li 3.28
La: 0.6667 0.3333 0.3275  6 Pd 2.99-3.04, 1 Li 3.28
Ga: 0.0000 0.0000 0.5000  6 Pd 2.44
Pd: 0.0000 0.5000 0.0000  2 Li 2.20
Pd: 0.1803 0.3606 0.3356  1 Li 2.30, 1 Ga 2.44
Pd: 0.1803 0.8197 0.3356  1 Li 2.30, 1 Ga 2.44
Pd: 0.3606 0.1803 0.6644  1 Li 2.30, 1 Ga 2.44
Pd: 0.5000 0.0000 0.0000  2 Li 2.20
Pd: 0.5000 0.5000 0.0000  2 Li 2.20
Pd: 0.6394 0.8197 0.3356  1 Li 2.30, 1 Ga 2.44
Pd: 0.8197 0.1803 0.6644  1 Li 2.30, 1 Ga 2.44
Pd: 0.8197 0.6394 0.6644  1 Li 2.30, 1 Ga 2.44

Record 5
A plane-wave DFT calculation with PBE was carried out for Li2LaGa4Pd after structural relaxation.

Values from the calculation:
E_form = -4.0 eV per formula unit
SG = R-3m

Unit cell a=9.4400 b=9.4400 c=9.4400 alpha=26.56 beta=26.56 gamma=26.56
Last column: nearest neighbours and their distance in Å.
Atoms (fractional coordinates):
Li: 0.2277 0.2277 0.2277  7 Ga 2.56-2.78
Li: 0.7723 0.7723 0.7723  7 Ga 2.56-2.78
La: 0.0000 0.0000 0.0000  8 Ga 3.17-3.44
Ga: 0.1259 0.1259 0.1259  4 Li 2.56-2.78, 3 Pd 2.74
Ga: 0.4046 0.4046 0.4046  1 Pd 2.61, 3 Li 2.67, 3 Ga 2.91
Ga: 0.5954 0.5954 0.5954  1 Pd 2.61, 3 Li 2.67, 3 Ga 2.91
Ga: 0.8741 0.8741 0.8741  4 Li 2.56-2.78, 3 Pd 2.74
Pd: 0.5000 0.5000 0.5000  8 Ga 2.61-2.74

Record 6
A plane-wave DFT calculation with PBE was carried out for LiLaGa2Pd2 after structural relaxation.

Values from the calculation:
E_form = -4.4 eV per formula unit
SG = P-3m1

Unit cell a=4.4389 b=4.4389 c=6.7695 alpha=90.00 beta=90.00 gamma=120.00
Last column: nearest neighbours and their distance in Å.
Atoms (fractional coordinates):
Li: 0.0000 0.0000 0.0000  6 Ga 2.86, 6 Pd 2.89
La: 0.0000 0.0000 0.5000  6 Pd 3.29, 6 Ga 3.32, 2 Li 3.38
Ga: 0.3333 0.6667 0.8129  4 Pd 2.56-2.59, 3 Li 2.86
Ga: 0.6667 0.3333 0.1871  4 Pd 2.56-2.59, 3 Li 2.86
Pd: 0.3333 0.6667 0.1961  4 Ga 2.56-2.59
Pd: 0.6667 0.3333 0.8039  4 Ga 2.56-2.59

Record 7
A plane-wave DFT calculation with PBE was carried out for Li2La2PmGa2 after structural relaxation.

Values from the calculation:
E_form = -2.2 eV per formula unit
SG = R-3m

Unit cell a=9.2343 b=9.2343 c=9.2343 alpha=29.59 beta=29.59 gamma=29.59
Last column: nearest neighbours and their distance in Å.
Atoms (fractional coordinates):
Li: 0.1060 0.1060 0.1060  3 Ga 2.73
Li: 0.8940 0.8940 0.8940  3 Ga 2.73
La: 0.3684 0.3684 0.3684  4 Ga 3.20-3.54, 3 La 3.30, 3 Li 3.31, 1 Pm 3.48
La: 0.6316 0.6316 0.6316  4 Ga 3.20-3.54, 3 La 3.30, 3 Li 3.31, 1 Pm 3.48
Pm: 0.5000 0.5000 0.5000  6 Li 3.16, 6 Ga 3.26, 2 La 3.48
Ga: 0.2346 0.2346 0.2346  3 Li 2.73
Ga: 0.7654 0.7654 0.7654  3 Li 2.73

Record 8
A plane-wave DFT calculation with PBE was carried out for LiLaPrGa after structural relaxation.

Values from the calculation:
E_form = -1.2 eV per formula unit
SG = F-43m

Unit cell a=5.3329 b=5.3329 c=5.3329 alpha=60.00 beta=60.00 gamma=60.00
Last column: nearest neighbours and their distance in Å.
Atoms (fractional coordinates):
Li: 0.0000 0.0000 0.0000  4 La 3.27, 4 Pr 3.27
La: 0.7500 0.7500 0.7500  4 Ga 3.27, 4 Li 3.27
Pr: 0.2500 0.2500 0.2500  4 Ga 3.27, 4 Li 3.27
Ga: 0.5000 0.5000 0.5000  4 La 3.27, 4 Pr 3.27

Record 9
A plane-wave DFT calculation with PBE was carried out for Li2La2PrGa2 after structural relaxation.

Values from the calculation:
E_form = -2.2 eV per formula unit
SG = R-3m

Unit cell a=9.2950 b=9.2950 c=9.2950 alpha=29.58 beta=29.58 gamma=29.58
Last column: nearest neighbours and their distance in Å.
Atoms (fractional coordinates):
Li: 0.1037 0.1037 0.1037  3 Ga 2.75
Li: 0.8963 0.8963 0.8963  3 Ga 2.75
La: 0.3685 0.3685 0.3685  4 Ga 3.20-3.52, 3 Li 3.29, 3 La 3.32, 1 Pr 3.50
La: 0.6315 0.6315 0.6315  4 Ga 3.20-3.52, 3 Li 3.29, 3 La 3.32, 1 Pr 3.50
Pr: 0.5000 0.5000 0.5000  6 Li 3.21, 6 Ga 3.31, 2 La 3.50
Ga: 0.2363 0.2363 0.2363  3 Li 2.75
Ga: 0.7637 0.7637 0.7637  3 Li 2.75

Record 10
A plane-wave DFT calculation with PBE was carried out for LiLaGa2Pt5 after structural relaxation.

Values from the calculation:
E_form = -6.3 eV per formula unit
SG = P4/mmm

Unit cell a=4.1505 b=4.1505 c=9.7055 alpha=90.00 beta=90.00 gamma=90.00
Last column: nearest neighbours and their distance in Å.
Atoms (fractional coordinates):
Li: 0.0000 0.0000 0.0000  8 Ga 3.18, 8 Pt 3.34
La: 0.0000 0.0000 0.5000  12 Pt 2.93-3.05
Ga: 0.5000 0.5000 0.1272  1 Ga 2.47, 4 Pt 2.49
Ga: 0.5000 0.5000 0.8728  1 Ga 2.47, 4 Pt 2.49
Pt: 0.0000 0.5000 0.2696  2 Ga 2.49
Pt: 0.0000 0.5000 0.7304  2 Ga 2.49
Pt: 0.5000 0.0000 0.2696  2 Ga 2.49
Pt: 0.5000 0.0000 0.7304  2 Ga 2.49
Pt: 0.5000 0.5000 0.5000  4 La 2.93, 8 Pt 3.05

Record 11
A plane-wave DFT calculation with PBE was carried out for LiLa2Ga3Pt4 after structural relaxation.

Values from the calculation:
E_form = -9.6 eV per formula unit
SG = P-4m2

Unit cell a=4.1585 b=4.1585 c=11.2962 alpha=90.00 beta=90.00 gamma=90.00
Last column: nearest neighbours and their distance in Å.
Atoms (fractional coordinates):
Li: 0.0000 0.0000 0.0000  4 Pt 2.63, 4 Ga 2.94
La: 0.0000 0.5000 0.7527  8 Pt 3.17-3.53, 6 Ga 3.25-3.48, 2 Li 3.48
La: 0.5000 0.0000 0.2473  8 Pt 3.17-3.53, 6 Ga 3.25-3.48, 2 Li 3.48
Ga: 0.0000 0.5000 0.3699  5 Pt 2.55-2.57
Ga: 0.5000 0.0000 0.6301  5 Pt 2.55-2.57
Ga: 0.5000 0.5000 0.0000  4 Pt 2.63, 4 Li 2.94
Pt: 0.0000 0.0000 0.5000  4 Ga 2.55
Pt: 0.0000 0.5000 0.1425  3 Ga 2.57-2.63, 2 Li 2.63
Pt: 0.5000 0.0000 0.8575  3 Ga 2.57-2.63, 2 Li 2.63
Pt: 0.5000 0.5000 0.5000  4 Ga 2.55

Record 12
A plane-wave DFT calculation with PBE was carried out for LiLa2Ga6Pt after structural relaxation.

Values from the calculation:
E_form = -4.1 eV per formula unit
SG = C2/m

Unit cell a=6.6998 b=6.6998 c=6.6920 alpha=119.84 beta=119.84 gamma=90.25
Last column: nearest neighbours and their distance in Å.
Atoms (fractional coordinates):
Li: 0.0000 0.0000 0.0000  6 Ga 2.25-2.26
La: 0.2499 0.7501 0.5000  12 Ga 3.35-3.36
La: 0.7501 0.2499 0.5000  12 Ga 3.35-3.36
Ga: 0.2375 0.2375 0.9993  1 Li 2.25, 1 Pt 2.48
Ga: 0.2376 0.2376 0.4755  1 Li 2.26, 1 Pt 2.49
Ga: 0.2376 0.7624 0.0000  1 Li 2.26, 1 Pt 2.49
Ga: 0.7624 0.2376 0.0000  1 Li 2.26, 1 Pt 2.49
Ga: 0.7624 0.7624 0.5245  1 Li 2.26, 1 Pt 2.49
Ga: 0.7625 0.7625 0.0007  1 Li 2.25, 1 Pt 2.48
Pt: 0.5000 0.5000 0.0000  6 Ga 2.48-2.49

Record 13
A plane-wave DFT calculation with PBE was carried out for LiLaGa2Pt4 after structural relaxation.

Values from the calculation:
E_form = -6.9 eV per formula unit
SG = R-3m

Unit cell a=9.0462 b=9.0462 c=9.0462 alpha=27.57 beta=27.57 gamma=27.57
Last column: nearest neighbours and their distance in Å.
Atoms (fractional coordinates):
Li: 0.0000 0.0000 0.0000  8 Pt 2.47-2.64
La: 0.5000 0.5000 0.5000  8 Pt 3.12-3.48
Ga: 0.2642 0.2642 0.2642  7 Pt 2.58-2.67
Ga: 0.7358 0.7358 0.7358  7 Pt 2.58-2.67
Pt: 0.0945 0.0945 0.0945  1 Li 2.47, 3 Ga 2.58
Pt: 0.3666 0.3666 0.3666  3 Li 2.64, 4 Ga 2.66-2.67
Pt: 0.6334 0.6334 0.6334  3 Li 2.64, 4 Ga 2.66-2.67
Pt: 0.9055 0.9055 0.9055  1 Li 2.47, 3 Ga 2.58